No. 1
This record from Alexandria via LeMat-Bulk describes a relaxed structure of ErNi3Sn. The functional is GGA-PBE.

Cell: 8.672 8.672 4.447 Å, 90.00 90.00 148.13°
Sites, in units of the cell vectors:
Er 0.082 0.918 0.750
Er 0.918 0.082 0.250
Ni 0.041 0.479 0.250
Ni 0.479 0.041 0.750
Ni 0.500 0.500 0.000
Ni 0.500 0.500 0.500
Ni 0.521 0.959 0.250
Ni 0.959 0.521 0.750
Sn 0.356 0.644 0.750
Sn 0.644 0.356 0.250

Computed properties:
- Energy of formation: -0.110 eV/atom

No. 2
This record from Alexandria via LeMat-Bulk describes a relaxed structure of AsPS2. The functional is GGA-PBE.

Cell: 8.056 8.056 8.056 Å, 25.02 25.02 25.02°
Sites, in units of the cell vectors:
As 0.000 0.000 0.000
P 0.500 0.500 0.500
S 0.401 0.401 0.401
S 0.599 0.599 0.599

Computed properties:
- Formation energy without anion corrections: 0.3895 eV per atom
- Relative energy among the computed polymorphs: 406 meV per atom

No. 3
This record from Alexandria via LeMat-Bulk describes a relaxed structure of PmNpS2O. The functional is GGA-PBE.

Cell: 3.926 3.926 13.754 Å, 90.00 90.00 90.00°
Sites, in units of the cell vectors:
Pm 0.250 0.250 0.088
Pm 0.750 0.750 0.912
Np 0.250 0.250 0.613
Np 0.750 0.750 0.387
S 0.250 0.250 0.408
S 0.250 0.250 0.799
S 0.750 0.750 0.201
S 0.750 0.750 0.592
O 0.250 0.750 0.000
O 0.750 0.250 0.000

Computed properties:
- Formation energy without anion corrections: -2.1883 eV per atom

No. 4
This record from Alexandria via LeMat-Bulk describes a relaxed structure of Cs2YPBr6. The functional is GGA-PBE.

Cell: 8.616 8.616 8.616 Å, 127.12 127.12 78.05°
Sites, in units of the cell vectors:
Cs 0.250 0.750 0.500
Cs 0.750 0.250 0.500
Y 0.000 0.000 0.000
P 0.500 0.500 0.000
Br 0.209 0.209 0.000
Br 0.259 0.259 0.517
Br 0.259 0.741 0.000
Br 0.741 0.259 0.000
Br 0.741 0.741 0.483
Br 0.791 0.791 0.000

Computed properties:
- Formation energy without anion corrections: -1.2739 eV per atom

Short version: total DFT energy (no corrections) = -5.29; -4.19; -8.37; -3.64 eV per atom, in the order given.